DFT (PBE) results for Dy4GaBi2 after structural relaxation.

Cell and atoms, written as POSCAR:
```
Dy4GaBi2
1.0
4.594 0.000 0.000
0.000 7.819 0.000
0.000 0.000 12.196
Dy Ga Bi
8 2 4
direct
0.000 0.646 0.787 Dy
0.000 0.354 0.213 Dy
0.000 0.146 0.713 Dy
0.000 0.854 0.287 Dy
0.500 0.790 0.557 Dy
0.500 0.210 0.443 Dy
0.500 0.710 0.057 Dy
0.500 0.290 0.943 Dy
0.000 0.000 0.500 Ga
0.000 0.500 0.000 Ga
0.500 0.921 0.826 Bi
0.500 0.079 0.174 Bi
0.500 0.421 0.674 Bi
0.500 0.579 0.326 Bi
```

Values from the calculation:
**Mass density**: 8.62 Mg/m³
**SG**: Pbam
**E_form**: -603 meV per atom